Entry 1:
The following is a PBE calculation of a geometry-optimized NaInPAu2 structure, from the Alexandria database.

Cell lengths 4.9695, 4.9695, 5.2760 Å; angles 90.00, 90.00, 90.00 degrees
Fractional coordinates of all 5 atoms:
1 Na 0.0000 0.0000 0.0000
2 P 0.5000 0.5000 0.5000
3 Au 0.0000 0.5000 0.0000
4 Au 0.5000 0.0000 0.0000
5 In 0.0000 0.0000 0.5000

density	7.2	g/cm³
energy relative to the elements	1035	meV/atom
magnetization	0.001	μB/atom

***

Entry 2:
The following is a PBE calculation of a geometry-optimized SrAcLa structure, from the Alexandria database.

Cell lengths 3.9876, 5.4419, 12.3569 Å; angles 90.00, 90.00, 90.00 degrees
Fractional coordinates of all 6 atoms:
1 Sr 0.8727 0.2910 0.1619
2 Sr 0.3724 0.7911 0.3502
3 Ac 0.8725 0.2912 0.5303
4 Ac 0.3725 0.7911 0.9819
5 La 0.8722 0.2912 0.8293
6 La 0.3722 0.7912 0.6833

relative energy among the computed polymorphs	0.023	eV/atom
density	5.6	g/cm³
energy relative to the elements	60	meV/atom
magnetization	0.000	μB/atom

***

Entry 3:
The following is a PBE calculation of a geometry-optimized Ca2PmEr structure, from the Alexandria database.

Cell lengths 3.6918, 6.3323, 9.5425 Å; angles 48.42, 112.77, 89.99 degrees
Fractional coordinates of all 4 atoms:
1 Ca 0.1751 0.0230 0.6848
2 Ca 0.6745 0.5258 0.6845
3 Pm 0.1749 0.6883 0.1848
4 Er 0.6744 0.1888 0.1846

relative energy among the computed polymorphs	0.000	eV/atom
density	4.6	g/cm³
energy relative to the elements	119	meV/atom
magnetization	0.003	μB/atom

***

Entry 4:
The following is a PBE calculation of a geometry-optimized AcPmH structure, from the Alexandria database.

Cell lengths 3.9260, 3.9260, 12.5411 Å; angles 90.00, 90.00, 120.00 degrees
Fractional coordinates of all 6 atoms:
1 H 0.6667 0.3333 0.8435
2 H 0.3333 0.6667 0.1565
3 Ac 0.6667 0.3333 0.6384
4 Ac 0.3333 0.6667 0.3616
5 Pm 0.6667 0.3333 0.1221
6 Pm 0.3333 0.6667 0.8779

relative energy among the computed polymorphs	0.000	eV/atom
density	7.4	g/cm³
magnetization	0.000	μB/atom

***

Entry 5:
The following is a PBE calculation of a geometry-optimized EuHoTmAl structure, from the Alexandria database.

Cell lengths 5.3654, 5.3654, 5.3654 Å; angles 60.00, 60.00, 60.00 degrees
Last column: magnetic moment on the atom in μB.
Fractional coordinates of all 4 atoms:
1 Eu 0.7500 0.7500 0.7500  6.85
2 Tm 0.5000 0.5000 0.5000  0.11
3 Ho 0.0000 0.0000 0.0000  0.11
4 Al 0.2500 0.2500 0.2500  -0.02

density	7.8	g/cm³
energy relative to the elements	-13	meV/atom
magnetization	1.815	μB/atom

***

Entry 6:
The following is a PBE calculation of a geometry-optimized K12Cd5Au2 structure, from the Alexandria database.

Cell lengths 9.5389, 9.5388, 9.3649 Å; angles 80.06, 80.06, 81.72 degrees
Fractional coordinates of all 19 atoms:
1 K 0.8946 0.8946 0.1791
2 K 0.0175 0.6665 0.8385
3 K 0.6665 0.0175 0.8385
4 K 0.1588 0.6126 0.3710
5 K 0.6126 0.1588 0.3710
6 K 0.4012 0.4012 0.7496
7 K 0.5988 0.5988 0.2504
8 K 0.8412 0.3874 0.6290
9 K 0.3874 0.8412 0.6290
10 K 0.9825 0.3335 0.1615
11 K 0.3335 0.9825 0.1615
12 K 0.1054 0.1054 0.8209
13 Cd 0.2194 0.2194 0.4402
14 Cd 0.3754 0.3754 0.1294
15 Cd 0.0000 0.0000 0.5000
16 Cd 0.6246 0.6246 0.8706
17 Cd 0.7806 0.7806 0.5598
18 Au 0.6789 0.3211 0.0000
19 Au 0.3211 0.6789 0.0000

density	2.9	g/cm³
energy relative to the elements	-80	meV/atom
magnetization	0.000	μB/atom

***

Entry 7:
The following is a PBE calculation of a geometry-optimized V2CdCo2 structure, from the Alexandria database.

Cell lengths 7.2091, 7.2091, 2.6190 Å; angles 90.00, 90.00, 90.00 degrees
Fractional coordinates of all 10 atoms:
1 Cd 0.0000 0.0000 0.0000
2 Cd 0.5000 0.5000 0.0000
3 Co 0.1735 0.6735 0.5000
4 Co 0.6735 0.8265 0.5000
5 Co 0.8265 0.3265 0.5000
6 Co 0.3265 0.1735 0.5000
7 V 0.3821 0.8821 0.0000
8 V 0.8821 0.6179 0.0000
9 V 0.6179 0.1179 0.0000
10 V 0.1179 0.3821 0.0000

relative energy among the computed polymorphs	0.138	eV/atom
density	8.1	g/cm³
energy relative to the elements	138	meV/atom
magnetization	0.000	μB/atom

***

Entry 8:
The following is a PBE calculation of a geometry-optimized Ac3Ce2UP6 structure, from the Alexandria database.

Cell lengths 7.3166, 7.3166, 7.3791 Å; angles 99.52, 99.52, 120.01 degrees
Last column: magnetic moment on the atom in μB.
Fractional coordinates of all 12 atoms:
1 Ac 0.1688 0.8312 0.5000  0.02
2 Ac 0.8312 0.1688 0.5000  0.02
3 Ac 0.5000 0.5000 0.5000  0.02
4 Ce 0.3338 0.6662 0.0000  0.57
5 Ce 0.6662 0.3338 0.0000  0.57
6 U 0.0000 0.0000 0.0000  1.92
7 P 0.9263 0.6024 0.7785  -0.04
8 P 0.7510 0.7510 0.2232  -0.04
9 P 0.0737 0.3976 0.2215  -0.04
10 P 0.6024 0.9263 0.7785  -0.04
11 P 0.2490 0.2490 0.7768  -0.04
12 P 0.3976 0.0737 0.2215  -0.04

density	7.1	g/cm³
energy relative to the elements	-1348	meV/atom
magnetization	0.279	μB/atom

***

Entry 9:
The following is a PBE calculation of a geometry-optimized Ho2HAu structure, from the Alexandria database.

Cell lengths 3.8731, 3.8731, 6.8375 Å; angles 73.55, 73.55, 60.00 degrees
Fractional coordinates of all 4 atoms:
1 H 0.5000 0.5000 0.5000
2 Au 0.0000 0.0000 0.0000
3 Ho 0.7623 0.7623 0.7131
4 Ho 0.2377 0.2377 0.2869

density	10.4	g/cm³
uncorrected energy	-4.40	eV per atom
magnetization	0.000	μB/atom

***

Entry 10:
The following is a PBE calculation of a geometry-optimized La3Tl3Cd structure, from the Alexandria database.

Cell lengths 4.9344, 6.4407, 15.2345 Å; angles 83.69, 80.68, 67.48 degrees
Fractional coordinates of all 14 atoms:
1 La 0.5379 0.3098 0.6144
2 La 0.4621 0.6902 0.3856
3 La 0.2677 0.2430 0.2217
4 La 0.7323 0.7570 0.7783
5 La 0.4047 0.2709 0.9197
6 La 0.5953 0.7291 0.0803
7 Tl 0.8675 0.7155 0.5494
8 Tl 0.1325 0.2845 0.4506
9 Tl 0.1224 0.8287 0.9265
10 Tl 0.8776 0.1713 0.0735
11 Tl 0.9818 0.8033 0.2331
12 Tl 0.0182 0.1967 0.7669
13 Cd 0.7610 0.0883 0.3896
14 Cd 0.2390 0.9117 0.6104

density	8.6	g/cm³
energy relative to the elements	-372	meV/atom
magnetization	0.000	μB/atom

***

Entry 11:
The following is a PBE calculation of a geometry-optimized MnPb3Se structure, from the Alexandria database.

Cell lengths 5.6703, 5.6703, 5.6703 Å; angles 90.00, 90.00, 90.00 degrees
Last column: magnetic moment on the atom in μB.
Fractional coordinates of all 5 atoms:
1 Pb 0.0000 0.5000 0.0000  -0.04
2 Pb 0.0000 0.0000 0.5000  0.00
3 Pb 0.5000 0.0000 0.0000  -0.01
4 Mn 0.5000 0.5000 0.5000  4.43
5 Se 0.0000 0.0000 0.0000  0.01

uncorrected formation energy	3.3	eV/f.u.
relative energy among the computed polymorphs	0.468	eV/atom
density	6.9	g/cm³
magnetization	0.963	μB/atom

***

Entry 12:
The following is a PBE calculation of a geometry-optimized Ac4YW3N12 structure, from the Alexandria database.

Cell lengths 7.2134, 7.2134, 7.2134 Å; angles 109.47, 109.47, 109.47 degrees
Fractional coordinates of all 20 atoms:
1 Ac 0.5000 0.5000 0.5000
2 Ac 0.0000 0.0000 0.5000
3 Ac 0.5000 0.0000 0.0000
4 Ac 0.0000 0.5000 0.0000
5 Y 0.0000 0.0000 0.0000
6 W 0.5000 0.0000 0.5000
7 W 0.5000 0.5000 0.0000
8 W 0.0000 0.5000 0.5000
9 N 0.2500 0.5000 0.7500
10 N 0.7326 0.0000 0.7326
11 N 0.2674 0.0000 0.2674
12 N 0.7500 0.5000 0.2500
13 N 0.7326 0.7326 0.0000
14 N 0.2674 0.2674 0.0000
15 N 0.7500 0.2500 0.5000
16 N 0.2500 0.7500 0.5000
17 N 0.5000 0.2500 0.7500
18 N 0.0000 0.7326 0.7326
19 N 0.5000 0.7500 0.2500
20 N 0.0000 0.2674 0.2674

uncorrected formation energy	-15.7	eV/f.u.
density	9.9	g/cm³
magnetization	0.000	μB/atom

***

Sequential N(E_F) output: 4.03; 10.52; 6.54; 5.30; 4.29; 9.16; 12.10; 17.78; 3.02; 11.58; 4.26; 11.91 states/eV per cell